Below is an optimized crystal structure of MnGaBRuSe, with properties calculated at the GGA-PBE level.

As for the density: 7377 kg/m³. The volume comes out at 14.20 A^3/atom. For the energy relative to the lowest polymorph listed for this composition, the calculation gives 0.199 eV/atom. As for the space-group type: R3m. For the total DFT energy (no corrections), the calculation gives -31.73 eV/cell. Its uncorrected formation energy is -0.10 eV per formula unit.

abc: 8.6311 8.6311 8.6311
angles: 20.80 20.80 20.80
Element x y z (fractional)
Mn 0.0000 0.0000 0.0000
Ga 0.4059 0.4059 0.4059
B 0.1312 0.1312 0.1312
Ru 0.5063 0.5063 0.5063
Se 0.6057 0.6057 0.6057